Entry 1:
# PBE AcErAlAu, relaxed
data_AcErAlAu
_chemical_formula_sum 'Ac1 Er1 Al1 Au1'
_cell_length_a 5.364
_cell_length_b 5.364
_cell_length_c 5.364
_cell_angle_alpha 60.00
_cell_angle_beta 60.00
_cell_angle_gamma 60.00
_space_group_name_H-M_alt 'P 1'
_space_group_IT_number 1
loop_
_space_group_symop_operation_xyz
'x,y,z'
loop_
_atom_site_label
_atom_site_type_symbol
_atom_site_fract_x
_atom_site_fract_y
_atom_site_fract_z
Ac1 Ac 0.000 0.000 0.000
Er1 Er 0.500 0.500 0.500
Al1 Al 0.250 0.250 0.250
Au1 Au 0.750 0.750 0.750
# - Formation energy from the elements: -0.4441 eV/atom
# - Crystal system: cubic

***

Entry 2:
# PBE KCo4Cl8, relaxed
data_KCo4Cl8
_chemical_formula_sum 'K1 Co4 Cl8'
_cell_length_a 6.439
_cell_length_b 6.439
_cell_length_c 9.869
_cell_angle_alpha 90.00
_cell_angle_beta 90.00
_cell_angle_gamma 120.00
_space_group_name_H-M_alt 'P 1'
_space_group_IT_number 1
loop_
_space_group_symop_operation_xyz
'x,y,z'
loop_
_atom_site_label
_atom_site_type_symbol
_atom_site_fract_x
_atom_site_fract_y
_atom_site_fract_z
K1 K 0.000 0.000 0.000
Co1 Co 0.333 0.667 0.232
Co2 Co 0.333 0.667 0.768
Co3 Co 0.667 0.333 0.232
Co4 Co 0.667 0.333 0.768
Cl1 Cl 0.000 0.336 0.694
Cl2 Cl 0.000 0.664 0.306
Cl3 Cl 0.333 0.667 0.000
Cl4 Cl 0.336 0.000 0.694
Cl5 Cl 0.336 0.336 0.306
Cl6 Cl 0.664 0.000 0.306
Cl7 Cl 0.664 0.664 0.694
Cl8 Cl 0.667 0.333 0.000
# - E_form (uncorrected): -0.6976 eV per atom
# - Crystal system: trigonal

***

Entry 3:
# PBE K2TeP3, relaxed
data_K2TeP3
_chemical_formula_sum 'K4 Te2 P6'
_cell_length_a 5.904
_cell_length_b 6.634
_cell_length_c 13.076
_cell_angle_alpha 75.43
_cell_angle_beta 77.03
_cell_angle_gamma 63.62
_space_group_name_H-M_alt 'P 1'
_space_group_IT_number 1
loop_
_space_group_symop_operation_xyz
'x,y,z'
loop_
_atom_site_label
_atom_site_type_symbol
_atom_site_fract_x
_atom_site_fract_y
_atom_site_fract_z
K1 K 0.000 0.000 0.000
K2 K 0.000 0.500 0.500
K3 K 0.325 0.144 0.208
K4 K 0.675 0.856 0.792
Te1 Te 0.341 0.412 0.905
Te2 Te 0.659 0.588 0.095
P1 P 0.060 0.137 0.741
P2 P 0.199 0.393 0.731
P3 P 0.325 0.607 0.269
P4 P 0.675 0.393 0.731
P5 P 0.801 0.607 0.269
P6 P 0.940 0.863 0.259
# - E_form (uncorrected): -0.2462 eV per atom
# - Crystal system: triclinic

***

Entry 4:
# PBE SrEuInSbO6, relaxed
data_SrEuInSbO6
_chemical_formula_sum 'Sr1 Eu1 In1 Sb1 O6'
_cell_length_a 5.845
_cell_length_b 5.845
_cell_length_c 5.845
_cell_angle_alpha 60.00
_cell_angle_beta 60.00
_cell_angle_gamma 60.00
_space_group_name_H-M_alt 'P 1'
_space_group_IT_number 1
loop_
_space_group_symop_operation_xyz
'x,y,z'
loop_
_atom_site_label
_atom_site_type_symbol
_atom_site_fract_x
_atom_site_fract_y
_atom_site_fract_z
Sr1 Sr 0.000 0.000 0.000
Eu1 Eu 0.500 0.500 0.500
In1 In 0.750 0.750 0.750
Sb1 Sb 0.250 0.250 0.250
O1 O 0.009 0.009 0.491
O2 O 0.009 0.491 0.009
O3 O 0.009 0.491 0.491
O4 O 0.491 0.009 0.009
O5 O 0.491 0.009 0.491
O6 O 0.491 0.491 0.009
# - E_form (uncorrected): -2.0933 eV per atom
# - Crystal system: cubic

***

Entry 5:
# PBE GdScMnIn, relaxed
data_GdScMnIn
_chemical_formula_sum 'Gd1 Sc1 Mn1 In1'
_cell_length_a 5.078
_cell_length_b 5.078
_cell_length_c 5.078
_cell_angle_alpha 60.00
_cell_angle_beta 60.00
_cell_angle_gamma 60.00
_space_group_name_H-M_alt 'P 1'
_space_group_IT_number 1
loop_
_space_group_symop_operation_xyz
'x,y,z'
loop_
_atom_site_label
_atom_site_type_symbol
_atom_site_fract_x
_atom_site_fract_y
_atom_site_fract_z
Gd1 Gd 0.000 0.000 0.000
Sc1 Sc 0.500 0.500 0.500
Mn1 Mn 0.250 0.250 0.250
In1 In 0.750 0.750 0.750
# - Formation energy from the elements: -0.0798 eV/atom
# - Crystal system: cubic

***

Entry 6:
# PBE HoNbSi2Tc, relaxed
data_HoNbSi2Tc
_chemical_formula_sum 'Ho1 Nb1 Si2 Tc1'
_cell_length_a 6.230
_cell_length_b 6.230
_cell_length_c 6.230
_cell_angle_alpha 142.42
_cell_angle_beta 142.42
_cell_angle_gamma 54.19
_space_group_name_H-M_alt 'P 1'
_space_group_IT_number 1
loop_
_space_group_symop_operation_xyz
'x,y,z'
loop_
_atom_site_label
_atom_site_type_symbol
_atom_site_fract_x
_atom_site_fract_y
_atom_site_fract_z
Ho1 Ho 0.000 0.000 0.000
Nb1 Nb 0.250 0.750 0.500
Si1 Si 0.393 0.393 0.000
Si2 Si 0.607 0.607 0.000
Tc1 Tc 0.750 0.250 0.500
# - E_form (uncorrected): -0.6458 eV per atom
# - Crystal system: tetragonal